1.
Here is an optimized crystal structure of BaAuSe2 from the Alexandria database. Energies are from PBE.

Computed properties:
- E_form (uncorrected) (eV/f.u.) = -2.535

Cell: 5.971 5.971 5.971 Å, 138.46 126.36 70.05°
Fractional positions:
Au 0.562 0.562 0.000
Se 0.965 0.965 0.000
Se 0.716 0.216 0.500
Ba 0.256 0.756 0.500

=====

2.
Here is an optimized crystal structure of BaAuSe3 from the Alexandria database. Energies are from PBE.

Computed properties:
- E_form (uncorrected) (eV/f.u.) = -3.572

Cell: 6.773 6.773 6.773 Å, 71.75 71.75 71.75°
Fractional positions:
Au 0.494 0.494 0.494
Au 0.994 0.994 0.994
Se 0.325 0.164 0.744
Se 0.825 0.244 0.664
Se 0.664 0.825 0.244
Se 0.244 0.664 0.825
Se 0.744 0.325 0.164
Se 0.164 0.744 0.325
Ba 0.244 0.244 0.244
Ba 0.744 0.744 0.744

=====

3.
Here is an optimized crystal structure of BaAu2Se from the Alexandria database. Energies are from PBE.

Computed properties:
- E_form (uncorrected) (eV/f.u.) = -2.840

Cell: 4.580 4.479 5.832 Å, 90.11 90.00 90.00°
Fractional positions:
Ba 0.000 0.500 0.518
Au 0.000 0.000 0.007
Au 0.500 0.000 0.262
Se 0.500 0.000 0.713

=====

4.
Here is an optimized crystal structure of Ba2AuSe2 from the Alexandria database. Energies are from PBE.

Computed properties:
- E_form (uncorrected) (eV/f.u.) = -6.477

Cell: 8.681 8.681 4.266 Å, 90.00 90.00 90.00°
Fractional positions:
Se 0.154 0.346 0.000
Se 0.654 0.154 0.000
Se 0.346 0.846 0.000
Se 0.846 0.654 0.000
Au 0.500 0.500 0.000
Au 0.000 0.000 0.000
Ba 0.656 0.844 0.500
Ba 0.844 0.344 0.500
Ba 0.156 0.656 0.500
Ba 0.344 0.156 0.500

=====

5.
Here is an optimized crystal structure of Ba3AuSe from the Alexandria database. Energies are from PBE.

Computed properties:
- E_form (uncorrected) (eV/f.u.) = -3.328

Cell: 6.218 6.218 6.218 Å, 90.00 90.00 90.00°
Fractional positions:
Se 0.000 0.000 0.000
Ba 0.000 0.500 0.000
Ba 0.000 0.000 0.500
Ba 0.500 0.000 0.000
Au 0.500 0.500 0.500

=====

6.
Here is an optimized crystal structure of BaAuSe2 from the Alexandria database. Energies are from PBE.

Computed properties:
- E_form (uncorrected) (eV/f.u.) = -2.522

Cell: 5.075 5.075 4.067 Å, 90.00 90.00 90.00°
Fractional positions:
Ba 0.000 0.500 0.500
Se 0.500 0.500 0.000
Se 0.000 0.000 0.000
Au 0.500 0.000 0.500

=====

7.
Here is an optimized crystal structure of BaAuSe3 from the Alexandria database. Energies are from PBE.

Computed properties:
- E_form (uncorrected) (eV/f.u.) = -4.078

Cell: 5.460 5.532 11.840 Å, 90.00 112.00 90.00°
Fractional positions:
Se 0.924 0.950 0.596
Se 0.874 0.450 0.895
Se 0.445 0.450 0.337
Se 0.555 0.950 0.663
Se 0.126 0.950 0.105
Se 0.076 0.450 0.404
Au 0.164 0.450 0.115
Au 0.836 0.950 0.885
Ba 0.239 0.450 0.714
Ba 0.761 0.950 0.286

=====

8.
Here is an optimized crystal structure of BaAu2Se from the Alexandria database. Energies are from PBE.

Computed properties:
- E_form (uncorrected) (eV/f.u.) = -2.798

Cell: 6.655 6.655 4.815 Å, 105.57 105.57 39.87°
Fractional positions:
Au 0.450 0.450 0.617
Au 0.050 0.050 0.883
Ba 0.750 0.750 0.750
Se 0.250 0.250 0.250

=====

no.,DFT total energy (eV per atom)
1,-3.68
2,-3.85
3,-3.70
4,-4.11
5,-3.17
6,-3.67
7,-3.95
8,-3.69